SiHgPb2: relaxed, GGA-PBE.

Cell and atoms, written as POSCAR:
```
SiHgPb2
1.0
0.000 3.754 3.754
3.754 0.000 3.754
3.754 3.754 0.000
Si Hg Pb
1 1 2
Cartesian
0.000 0.000 0.000
1.877 1.877 1.877
3.754 3.754 3.754
5.632 5.632 5.632
```

* electronic total energy: -11.6 eV/f.u.



SmHgPb: relaxed, GGA-PBE.

Cell and atoms, written as POSCAR:
```
SmHgPb
1.0
0.000 3.652 3.652
3.652 0.000 3.652
3.652 3.652 0.000
Sm Hg Pb
1 1 1
Cartesian
0.000 0.000 0.000
5.478 5.478 5.478
1.826 1.826 1.826
```

* electronic total energy: -9.2 eV/f.u.